No. 1
DFT (PBE-GGA) results for an optimized crystal structure of Sr2MgPt.

The structure belongs to space group R3m (No. 160, hexagonal axes); the cell edges are 4.5477, 4.5477 and 23.7364 Å and the angles 90.00°, 90.00° and 120.00°. Symmetry generates all atoms from Sr at (0.0000, 0.0000, 0.0000), Sr at (0.0000, 0.0000, 0.1774), Mg at (0.0000, 0.0000, 0.4220) and Pt at (0.0000, 0.0000, 0.7558).

The energy relative to the elements is -0.5366 eV/atom.

---

No. 2
DFT (PBE-GGA) results for an optimized crystal structure of SrMg4Pt.

The structure belongs to space group F-43m (No. 216); the cell edges are 8.166, 8.166 and 8.166 Å and the angles 90.00°, 90.00° and 90.00°. Symmetry generates all atoms from Sr at (0.000, 0.000, 0.000), Mg at (0.123, 0.123, 0.623) and Pt at (0.250, 0.250, 0.250).

The energy relative to the elements is -0.0885 eV/atom. The energy above the lowest structure with this stoichiometry is 353 meV/atom.